# GGA-PBE Ac3Bi2I, relaxed
data_Ac3Bi2I
_chemical_formula_sum 'Ac12 Bi8 I4'
_space_group_name_H-M_alt 'C m c m'
_space_group_IT_number 63
_space_group_name_Hall '-C 2c 2'
_cell_length_a 6.430
_cell_length_b 11.022
_cell_length_c 13.046
_cell_angle_alpha 90.00
_cell_angle_beta 90.00
_cell_angle_gamma 90.00
loop_
_atom_site_label
_atom_site_type_symbol
_atom_site_fract_x
_atom_site_fract_y
_atom_site_fract_z
Ac1 Ac 0.000 0.071 0.250
Ac2 Ac 0.000 0.342 0.503
Bi1 Bi 0.000 0.000 0.000
Bi2 Bi 0.000 0.416 0.250
I1 I 0.000 0.254 0.750
# - Calculated total energy: -4.26 eV per atom
# - Formation energy (no corrections): -3.9 eV per formula unit


# GGA-PBE Ac2BiI3, relaxed
data_Ac2BiI3
_chemical_formula_sum 'Ac8 Bi4 I12'
_space_group_name_H-M_alt 'C 1 2/m 1'
_space_group_IT_number 12
_space_group_name_Hall '-C 2y'
_cell_length_a 19.592
_cell_length_b 5.082
_cell_length_c 14.726
_cell_angle_alpha 90.00
_cell_angle_beta 123.52
_cell_angle_gamma 90.00
loop_
_atom_site_label
_atom_site_type_symbol
_atom_site_fract_x
_atom_site_fract_y
_atom_site_fract_z
Ac1 Ac 0.108 0.000 0.452
Ac2 Ac 0.136 0.500 0.829
Bi1 Bi 0.096 0.000 0.668
I1 I 0.062 0.500 0.264
I2 I 0.158 0.000 0.011
I3 I 0.237 0.500 0.602
# - Calculated total energy: -4.05 eV per atom
# - Formation energy (no corrections): -7.6 eV per formula unit


# GGA-PBE Ac4BiI5, relaxed
data_Ac4BiI5
_chemical_formula_sum 'Ac8 Bi2 I10'
_space_group_name_H-M_alt 'C 1 2/m 1'
_space_group_IT_number 12
_space_group_name_Hall '-C 2y'
_cell_length_a 19.973
_cell_length_b 4.429
_cell_length_c 10.224
_cell_angle_alpha 90.00
_cell_angle_beta 97.19
_cell_angle_gamma 90.00
loop_
_atom_site_label
_atom_site_type_symbol
_atom_site_fract_x
_atom_site_fract_y
_atom_site_fract_z
Ac1 Ac 0.004 0.000 0.237
Ac2 Ac 0.170 0.500 0.063
Bi1 Bi 0.000 0.500 0.000
I1 I 0.000 0.500 0.500
I2 I 0.164 0.000 0.798
I3 I 0.171 0.000 0.321
# - Calculated total energy: -4.01 eV per atom
# - Formation energy (no corrections): -12.0 eV per formula unit


# GGA-PBE Ac2BiI, relaxed
data_Ac2BiI
_chemical_formula_sum 'Ac6 Bi3 I3'
_space_group_name_H-M_alt 'R 3 m'
_space_group_IT_number 160
_space_group_name_Hall 'R 3 -2"'
_cell_length_a 4.6078
_cell_length_b 4.6078
_cell_length_c 26.5003
_cell_angle_alpha 90.00
_cell_angle_beta 90.00
_cell_angle_gamma 120.00
loop_
_atom_site_label
_atom_site_type_symbol
_atom_site_fract_x
_atom_site_fract_y
_atom_site_fract_z
Ac1 Ac 0.0000 0.0000 0.0000
Ac2 Ac 0.0000 0.0000 0.1832
Bi1 Bi 0.0000 0.0000 0.5907
I1 I 0.0000 0.0000 0.7593
# - Calculated total energy: -4.34 eV per atom
# - Formation energy (no corrections): -3.7 eV per formula unit


# GGA-PBE Ac2BiI, relaxed
data_Ac2BiI
_chemical_formula_sum 'Ac2 Bi1 I1'
_space_group_name_H-M_alt 'P 4/m m m'
_space_group_IT_number 123
_space_group_name_Hall '-P 4 2'
_cell_length_a 4.181
_cell_length_b 4.181
_cell_length_c 8.222
_cell_angle_alpha 90.00
_cell_angle_beta 90.00
_cell_angle_gamma 90.00
loop_
_atom_site_label
_atom_site_type_symbol
_atom_site_fract_x
_atom_site_fract_y
_atom_site_fract_z
Ac1 Ac 0.000 0.000 0.234
Bi1 Bi 0.500 0.500 0.000
I1 I 0.500 0.500 0.500
# - Calculated total energy: -4.29 eV per atom
# - Formation energy (no corrections): -3.5 eV per formula unit


# GGA-PBE Ac2BiI, relaxed
data_Ac2BiI
_chemical_formula_sum 'Ac8 Bi4 I4'
_space_group_name_H-M_alt 'F m -3 m'
_space_group_IT_number 225
_space_group_name_Hall '-F 4 2 3'
_cell_length_a 8.282
_cell_length_b 8.282
_cell_length_c 8.282
_cell_angle_alpha 90.00
_cell_angle_beta 90.00
_cell_angle_gamma 90.00
loop_
_atom_site_label
_atom_site_type_symbol
_atom_site_fract_x
_atom_site_fract_y
_atom_site_fract_z
Ac1 Ac 0.250 0.250 0.250
Bi1 Bi 0.000 0.000 0.000
I1 I 0.000 0.000 0.500
# - Calculated total energy: -4.35 eV per atom
# - Formation energy (no corrections): -3.7 eV per formula unit


# GGA-PBE AcBi4I, relaxed
data_AcBi4I
_chemical_formula_sum 'Ac4 Bi16 I4'
_space_group_name_H-M_alt 'F -4 3 m'
_space_group_IT_number 216
_space_group_name_Hall 'F -4 2 3'
_cell_length_a 9.411
_cell_length_b 9.411
_cell_length_c 9.411
_cell_angle_alpha 90.00
_cell_angle_beta 90.00
_cell_angle_gamma 90.00
loop_
_atom_site_label
_atom_site_type_symbol
_atom_site_fract_x
_atom_site_fract_y
_atom_site_fract_z
Ac1 Ac 0.000 0.000 0.000
Bi1 Bi 0.124 0.124 0.376
I1 I 0.250 0.250 0.750
# - Calculated total energy: -3.82 eV per atom
# - Formation energy (no corrections): -1.8 eV per formula unit


# GGA-PBE AcBi2I, relaxed
data_AcBi2I
_chemical_formula_sum 'Ac1 Bi2 I1'
_space_group_name_H-M_alt 'P 4/m m m'
_space_group_IT_number 123
_space_group_name_Hall '-P 4 2'
_cell_length_a 4.703
_cell_length_b 4.703
_cell_length_c 6.268
_cell_angle_alpha 90.00
_cell_angle_beta 90.00
_cell_angle_gamma 90.00
loop_
_atom_site_label
_atom_site_type_symbol
_atom_site_fract_x
_atom_site_fract_y
_atom_site_fract_z
Ac1 Ac 0.000 0.000 0.000
Bi1 Bi 0.000 0.500 0.500
I1 I 0.500 0.500 0.000
# - Calculated total energy: -4.01 eV per atom
# - Formation energy (no corrections): -2.6 eV per formula unit


# GGA-PBE Ac4BiI5, relaxed
data_Ac4BiI5
_chemical_formula_sum 'Ac8 Bi2 I10'
_space_group_name_H-M_alt 'P m m n'
_space_group_IT_number 59
_cell_length_a 10.391
_cell_length_b 11.349
_cell_length_c 7.686
_cell_angle_alpha 90.00
_cell_angle_beta 90.00
_cell_angle_gamma 90.00
loop_
_space_group_symop_operation_xyz
'x,y,z'
'-x,-y,-z'
'-x+1/2,-y+1/2,z'
'x+1/2,y+1/2,-z'
'x+1/2,-y,-z'
'-x+1/2,y,z'
'-x,y+1/2,-z'
'x,-y+1/2,z'
loop_
_atom_site_label
_atom_site_type_symbol
_atom_site_fract_x
_atom_site_fract_y
_atom_site_fract_z
Ac1 Ac 0.054 0.250 0.029
Ac2 Ac 0.250 0.010 0.649
Bi1 Bi 0.250 0.750 0.818
I1 I 0.060 0.545 0.252
I2 I 0.250 0.250 0.379
# - Calculated total energy: -3.84 eV per atom
# - Formation energy (no corrections): -10.3 eV per formula unit


# GGA-PBE Ac5Bi3I12, relaxed
data_Ac5Bi3I12
_chemical_formula_sum 'Ac40 Bi24 I96'
_space_group_name_H-M_alt 'I a -3 d'
_space_group_IT_number 230
_space_group_name_Hall '-I 4bd 2c 3'
_cell_length_a 20.827
_cell_length_b 20.827
_cell_length_c 20.827
_cell_angle_alpha 90.00
_cell_angle_beta 90.00
_cell_angle_gamma 90.00
loop_
_atom_site_label
_atom_site_type_symbol
_atom_site_fract_x
_atom_site_fract_y
_atom_site_fract_z
Ac1 Ac 0.000 0.000 0.000
Ac2 Ac 0.000 0.250 0.375
Bi1 Bi 0.000 0.250 0.125
I1 I 0.048 0.066 0.634
# - Calculated total energy: -3.21 eV per atom
# - Formation energy (no corrections): -13.4 eV per formula unit


# GGA-PBE Ac4Bi3I, relaxed
data_Ac4Bi3I
_chemical_formula_sum 'Ac8 Bi6 I2'
_space_group_name_H-M_alt 'C 1 m 1'
_space_group_IT_number 8
_space_group_name_Hall 'C -2y'
_cell_length_a 11.869
_cell_length_b 11.849
_cell_length_c 4.145
_cell_angle_alpha 90.00
_cell_angle_beta 90.29
_cell_angle_gamma 90.00
loop_
_atom_site_label
_atom_site_type_symbol
_atom_site_fract_x
_atom_site_fract_y
_atom_site_fract_z
Ac1 Ac 0.000 0.000 0.000
Ac2 Ac 0.020 0.500 0.996
Ac3 Ac 0.260 0.260 0.943
Bi1 Bi 0.010 0.250 0.471
Bi2 Bi 0.260 0.500 0.470
I1 I 0.261 0.000 0.469
# - Calculated total energy: -4.56 eV per atom
# - Formation energy (no corrections): -6.8 eV per formula unit


# GGA-PBE Ac4Bi2I3, relaxed
data_Ac4Bi2I3
_chemical_formula_sum 'Ac8 Bi4 I6'
_space_group_name_H-M_alt 'C 1 2/m 1'
_space_group_IT_number 12
_space_group_name_Hall '-C 2y'
_cell_length_a 8.416
_cell_length_b 4.860
_cell_length_c 19.413
_cell_angle_alpha 90.00
_cell_angle_beta 90.05
_cell_angle_gamma 90.00
loop_
_atom_site_label
_atom_site_type_symbol
_atom_site_fract_x
_atom_site_fract_y
_atom_site_fract_z
Ac1 Ac 0.001 0.000 0.293
Ac2 Ac 0.166 0.500 0.897
Bi1 Bi 0.167 0.500 0.198
I1 I 0.000 0.000 0.000
I2 I 0.166 0.500 0.604
# - Calculated total energy: -4.33 eV per atom
# - Formation energy (no corrections): -10.1 eV per formula unit